A plane-wave DFT calculation with PBE-GGA was carried out for a relaxed structure of Dy2MgGa3Au4.

CIF file:
```
data_Dy2MgGa3Au4
_space_group_name_H-M_alt 'P -4 m 2'
_space_group_IT_number 115
_space_group_name_Hall 'P -4 -2'
_cell_length_a 4.2724
_cell_length_b 4.2724
_cell_length_c 11.2389
_cell_angle_alpha 90.00
_cell_angle_beta 90.00
_cell_angle_gamma 90.00
loop_
_atom_site_label
_atom_site_type_symbol
_atom_site_fract_x
_atom_site_fract_y
_atom_site_fract_z
Dy1 Dy 0.0000 0.5000 0.2331
Mg1 Mg 0.0000 0.0000 0.5000
Ga1 Ga 0.0000 0.5000 0.8668
Ga2 Ga 0.5000 0.5000 0.5000
Au1 Au 0.0000 0.0000 0.0000
Au2 Au 0.0000 0.5000 0.6454
Au3 Au 0.5000 0.5000 0.0000
```

Output
calculated total energy: -3.903 eV/atom
formation energy: -0.604 eV per atom
V: 20.51 A^3/atom
DOS at the Fermi energy: 5.45 states/eV/f.u.
spin magnetization: 0.0 μB per cell